{
  "formula": "BH4I2",
  "functional": "PBE",
  "state": "optimized geometry",
  "space_group": "C2/m",
  "de_polymorph_kj_per_mol_fu": 0,
  "cell": [[0.571, 2.803, -8.488], [-4.047, -5.736, -2.164], [-4.231, -1.213, 4.042]],
  "species": ["H", "H", "H", "H", "B", "I", "I"],
  "frac_coords": [[0.494, 0.554, 0.988], [0.506, 0.446, 0.012], [0.106, 0.811, 0.211], [0.894, 0.189, 0.789], [0.000, 0.000, 0.000], [0.282, 0.051, 0.564], [0.718, 0.949, 0.436]]
}